(1)
# LiNiBiRu2 PBE optimized geometry
data_LiNiBiRu2
_cell_length_a 4.551
_cell_length_b 4.551
_cell_length_c 4.220
_cell_angle_alpha 90.00
_cell_angle_beta 90.00
_cell_angle_gamma 90.00
_space_group_name_H-M_alt 'P 4/m m m'
_space_group_IT_number 123
_space_group_name_Hall '-P 4 2'
loop_
_atom_site_label
_atom_site_type_symbol
_atom_site_fract_x
_atom_site_fract_y
_atom_site_fract_z
Li1 Li 0.000 0.000 0.000
Ni1 Ni 0.000 0.000 0.500
Bi1 Bi 0.500 0.500 0.000
Ru1 Ru 0.000 0.500 0.500
# * energy of formation from the pure elements: 706 meV per atom
# * crystal system: tetragonal

=====

(2)
# LiNiBiS3 PBE optimized geometry
data_LiNiBiS3
_cell_length_a 7.993
_cell_length_b 3.813
_cell_length_c 8.531
_cell_angle_alpha 90.00
_cell_angle_beta 105.49
_cell_angle_gamma 90.00
_space_group_name_H-M_alt 'P 1 21/m 1'
_space_group_IT_number 11
_space_group_name_Hall '-P 2yb'
loop_
_atom_site_label
_atom_site_type_symbol
_atom_site_fract_x
_atom_site_fract_y
_atom_site_fract_z
Li1 Li 0.178 0.250 0.143
Ni1 Ni 0.409 0.750 0.414
Bi1 Bi 0.292 0.750 0.816
S1 S 0.063 0.250 0.837
S2 S 0.307 0.250 0.475
S3 S 0.412 0.750 0.143
# * E_form (uncorrected): -0.5055 eV/atom
# * crystal system: monoclinic

=====

(3)
# LiScNiBi2 PBE optimized geometry
data_LiScNiBi2
_cell_length_a 4.923
_cell_length_b 4.923
_cell_length_c 4.751
_cell_angle_alpha 90.00
_cell_angle_beta 90.00
_cell_angle_gamma 90.00
_space_group_name_H-M_alt 'P 4/m m m'
_space_group_IT_number 123
_space_group_name_Hall '-P 4 2'
loop_
_atom_site_label
_atom_site_type_symbol
_atom_site_fract_x
_atom_site_fract_y
_atom_site_fract_z
Li1 Li 0.000 0.000 0.000
Sc1 Sc 0.000 0.000 0.500
Ni1 Ni 0.500 0.500 0.500
Bi1 Bi 0.000 0.500 0.000
# * energy of formation from the pure elements: 503 meV per atom
# * crystal system: tetragonal

=====

(4)
# LiSmNiBi PBE optimized geometry
data_LiSmNiBi
_cell_length_a 6.805
_cell_length_b 6.805
_cell_length_c 6.805
_cell_angle_alpha 90.00
_cell_angle_beta 90.00
_cell_angle_gamma 90.00
_space_group_name_H-M_alt 'F -4 3 m'
_space_group_IT_number 216
_space_group_name_Hall 'F -4 2 3'
loop_
_atom_site_label
_atom_site_type_symbol
_atom_site_fract_x
_atom_site_fract_y
_atom_site_fract_z
Li1 Li 0.000 0.000 0.000
Sm1 Sm 0.250 0.250 0.250
Ni1 Ni 0.000 0.000 0.500
Bi1 Bi 0.250 0.250 0.750
# * energy of formation from the pure elements: -362 meV per atom
# * crystal system: cubic

=====

(5)
# LiTbNiBi PBE optimized geometry
data_LiTbNiBi
_cell_length_a 6.746
_cell_length_b 6.746
_cell_length_c 6.746
_cell_angle_alpha 90.00
_cell_angle_beta 90.00
_cell_angle_gamma 90.00
_space_group_name_H-M_alt 'F -4 3 m'
_space_group_IT_number 216
_space_group_name_Hall 'F -4 2 3'
loop_
_atom_site_label
_atom_site_type_symbol
_atom_site_fract_x
_atom_site_fract_y
_atom_site_fract_z
Li1 Li 0.000 0.000 0.000
Tb1 Tb 0.250 0.250 0.250
Ni1 Ni 0.000 0.000 0.500
Bi1 Bi 0.250 0.250 0.750
# * energy of formation from the pure elements: -351 meV per atom
# * crystal system: cubic

=====

(6)
# LiTlNiBi PBE optimized geometry
data_LiTlNiBi
_cell_length_a 6.825
_cell_length_b 6.825
_cell_length_c 6.825
_cell_angle_alpha 90.00
_cell_angle_beta 90.00
_cell_angle_gamma 90.00
_space_group_name_H-M_alt 'F -4 3 m'
_space_group_IT_number 216
_space_group_name_Hall 'F -4 2 3'
loop_
_atom_site_label
_atom_site_type_symbol
_atom_site_fract_x
_atom_site_fract_y
_atom_site_fract_z
Li1 Li 0.000 0.000 0.000
Tl1 Tl 0.250 0.250 0.750
Ni1 Ni 0.000 0.000 0.500
Bi1 Bi 0.250 0.250 0.250
# * energy of formation from the pure elements: 9 meV per atom
# * crystal system: cubic

=====

(7)
# LiZnNiBi PBE optimized geometry
data_LiZnNiBi
_cell_length_a 6.409
_cell_length_b 6.409
_cell_length_c 6.409
_cell_angle_alpha 90.00
_cell_angle_beta 90.00
_cell_angle_gamma 90.00
_space_group_name_H-M_alt 'F -4 3 m'
_space_group_IT_number 216
_space_group_name_Hall 'F -4 2 3'
loop_
_atom_site_label
_atom_site_type_symbol
_atom_site_fract_x
_atom_site_fract_y
_atom_site_fract_z
Li1 Li 0.000 0.000 0.000
Zn1 Zn 0.250 0.250 0.250
Ni1 Ni 0.000 0.000 0.500
Bi1 Bi 0.250 0.250 0.750
# * energy of formation from the pure elements: -96 meV per atom
# * crystal system: cubic

=====

(8)
# Li2NpBi2O6 PBE optimized geometry
data_Li2NpBi2O6
_cell_length_a 6.261
_cell_length_b 10.803
_cell_length_c 5.381
_cell_angle_alpha 90.00
_cell_angle_beta 94.79
_cell_angle_gamma 90.00
_space_group_name_H-M_alt 'C 1 2/m 1'
_space_group_IT_number 12
_space_group_name_Hall '-C 2y'
loop_
_atom_site_label
_atom_site_type_symbol
_atom_site_fract_x
_atom_site_fract_y
_atom_site_fract_z
Li1 Li 0.000 0.131 0.000
Np1 Np 0.000 0.000 0.500
Bi1 Bi 0.000 0.329 0.500
O1 O 0.167 0.175 0.704
O2 O 0.185 0.000 0.222
# * E_form (uncorrected): -1.7967 eV/atom
# * crystal system: monoclinic

=====

no.,D(E_F) (states/eV per atom)
1,1.02
2,0.66
3,0.93
4,0.61
5,0.60
6,0.96
7,0.37
8,0.58